{"formula": "NbTl3V2Te6", "functional": "PBE-GGA", "state": "optimized geometry", "cell": [[3.373, -5.815, 0.000], [3.373, 5.815, 0.000], [-0.002, 0.000, 8.710]], "species": ["Nb", "Tl", "Tl", "Tl", "V", "V", "Te", "Te", "Te", "Te", "Te", "Te"], "frac_coords": [[0.000, 0.000, 0.000], [0.000, 0.000, 0.500], [0.336, 0.664, 0.500], [0.664, 0.336, 0.500], [0.329, 0.671, 0.000], [0.671, 0.329, 0.000], [0.002, 0.342, 0.808], [0.342, 0.002, 0.808], [0.344, 0.344, 0.187], [0.656, 0.656, 0.813], [0.658, 0.998, 0.192], [0.998, 0.658, 0.192]], "energy_ev_per_atom": -4.79}